A plane-wave DFT calculation with PBE was carried out for crystalline Pm6Tm4Th at its relaxed geometry.

**Uncorrected energy**: -4.751 eV/atom
**D(E_F)**: 1.734 states/eV/atom
**SG**: No. 63
**Calculated volume**: 725.3 Å³/cell
**Crystal system**: orthorhombic

Cell: 5.814 5.643 25.792 Å, 90.00 90.00 121.01°
Element x y z (fractional)
Pm: 0.500 0.000 0.000
Pm: 0.500 0.000 0.500
Pm: 0.125 0.250 0.319
Pm: 0.875 0.750 0.681
Pm: 0.875 0.750 0.819
Pm: 0.125 0.250 0.181
Pm: 0.802 0.605 0.401
Pm: 0.198 0.395 0.599
Pm: 0.198 0.395 0.901
Pm: 0.802 0.605 0.099
Pm: 0.453 0.907 0.250
Pm: 0.547 0.093 0.750
Tm: 0.847 0.693 0.543
Tm: 0.459 0.919 0.124
Tm: 0.153 0.307 0.457
Tm: 0.541 0.081 0.876
Tm: 0.847 0.693 0.957
Tm: 0.153 0.307 0.043
Tm: 0.541 0.081 0.624
Tm: 0.459 0.919 0.376
Th: 0.793 0.586 0.250
Th: 0.207 0.414 0.750


A plane-wave DFT calculation with PBE was carried out for crystalline Pm5Tm2Th at its relaxed geometry.

**Uncorrected energy**: -4.990 eV/atom
**D(E_F)**: 1.256 states/eV/atom
**SG**: No. 55
**Calculated volume**: 527.3 Å³/cell
**Crystal system**: orthorhombic

Cell: 5.089 7.197 14.398 Å, 90.00 90.00 90.00°
Element x y z (fractional)
Pm: 0.000 0.000 0.000
Pm: 0.000 0.500 0.500
Pm: 0.000 0.493 0.751
Pm: 0.000 0.507 0.249
Pm: 0.000 0.007 0.251
Pm: 0.000 0.993 0.749
Pm: 0.500 0.251 0.876
Pm: 0.500 0.749 0.124
Pm: 0.500 0.249 0.376
Pm: 0.500 0.751 0.624
Tm: 0.500 0.240 0.623
Tm: 0.500 0.760 0.377
Tm: 0.500 0.260 0.123
Tm: 0.500 0.740 0.877
Th: 0.000 0.000 0.500
Th: 0.000 0.500 0.000


Spin magnetization in μB per formula unit, matching the order above: 0.0, 0.0